1.
A relaxed structure of TbSbS. Source: the Alexandria database, functional PBE.

Results
symmetry	I4mm (107)
final energy	-5.375	eV per atom
calculated density	6.94	g/cm3
size of the total moment	0.000	μB per formula unit
uncorrected formation energy	-1.0815	eV per atom

Structure (extended XYZ):
```
3
Lattice="-0.617 -2.258 2.757 -0.032 -2.794 -2.296 5.963 1.868 0.493" Properties=species:S:1:pos:R:3 pbc="T T T"
S 3.255 -0.380 0.418
Tb 1.983 -2.795 0.527
Sb 0.075 -0.009 0.010
```

---

2.
A relaxed structure of TbSbS. Source: the Alexandria database, functional PBE.

Results
symmetry	I4/mmm (139)
final energy	-5.668	eV per atom
calculated density	7.13	g/cm3
size of the total moment	0.000	μB per formula unit
uncorrected formation energy	-1.3749	eV per atom

Structure (extended XYZ):
```
6
Lattice="4.084 0.000 0.000 0.000 4.084 0.000 -2.042 -2.042 8.736" Properties=species:S:1:pos:R:3 pbc="T T T"
S 0.000 0.000 3.266
S 2.042 2.042 5.469
Tb 0.000 0.000 6.022
Sb 0.000 2.042 0.000
Sb 2.042 0.000 0.000
Tb 2.042 2.042 2.714
```